# 1
VASP calculation (PBE-GGA) on an optimized crystal structure of Tb6CN3O2.

Summary:
* formation energy (no corrections): -1937.7 meV/atom
* total magnetization: 0.00 μB per cell
* total DFT energy (no corrections): -95.2 eV per formula unit

a = 6.0570 Å, b = 10.4863 Å, c = 6.0654 Å
α = 90.00°, β = 109.47°, γ = 90.00°
Last column: nearest neighbours and their distance in Å.
Space group C2/m (No. 12)
Inequivalent atoms, fractional coordinates:
Tb 0.2449 0.0000 0.2461 x4  3 N 2.44-2.48, 1 C 2.47, 2 O 2.49
Tb 0.2499 0.1648 0.7560 x8  3 N 2.44-2.48, 1 C 2.47, 2 O 2.50-2.51
C 0.0000 0.0000 0.5000 x2  6 Tb 2.47
N 0.0000 0.1654 0.0000 x4  6 Tb 2.44-2.48
N 0.0000 0.5000 0.0000 x2  6 Tb 2.44-2.48
O 0.0000 0.3337 0.5000 x4  6 Tb 2.49-2.51


# 2
VASP calculation (PBE-GGA) on an optimized crystal structure of KRe2Ni.

Summary:
* DFT formation energy: 0.803 eV/atom
* total magnetization: 0.00 μB per cell
* total DFT energy (no corrections): -28.6 eV per formula unit
* energy above the lowest structure with this stoichiometry: 109 meV/atom

a = 8.6443 Å, b = 2.6260 Å, c = 7.3081 Å
α = 90.00°, β = 92.64°, γ = 90.00°
Last column: nearest neighbours and their distance in Å.
Space group Cm (No. 8)
Inequivalent atoms, fractional coordinates:
K 0.0000 0.0000 0.0000 x2  2 K 2.63
Re 0.0172 0.5000 0.5128 x2  5 Re 2.46-2.74, 3 Ni 2.54-2.67
Re 0.2652 0.5000 0.3600 x2  5 Re 2.46-2.74, 2 Ni 2.58
Ni 0.2412 0.0000 0.6615 x2  5 Re 2.54-2.67, 2 Ni 2.63


# 3
VASP calculation (PBE-GGA) on an optimized crystal structure of HfV3Cr.

Summary:
* DFT formation energy: 0.612 eV/atom
* total magnetization: 0.00 μB per cell
* total DFT energy (no corrections): -43.9 eV per formula unit
* energy above the lowest structure with this stoichiometry: 0 meV/atom

a = 4.3555 Å, b = 4.3555 Å, c = 4.3555 Å
α = 90.00°, β = 90.00°, γ = 90.00°
Last column: nearest neighbours and their distance in Å.
Space group Pm-3m (No. 221)
Inequivalent atoms, fractional coordinates:
Hf 0.0000 0.0000 0.0000 x1  12 V 3.08
V 0.0000 0.5000 0.5000 x3  2 Cr 2.18
Cr 0.5000 0.5000 0.5000 x1  6 V 2.18


What is the formula in the first record?
Tb6CN3O2


Among the records above, which one has the lowest total DFT energy (no corrections)?
Tb6CN3O2


The highest total DFT energy (no corrections) belongs to which entry?
KRe2Ni